No. 1
Computed, not measured: crystalline Tb5Ce2Bi4 at its relaxed geometry at the PBE level of DFT.

Properties
Uncorrected energy ... -106.5 eV/cell
ΔH_f (0 K) ... -0.244 eV per atom
Magnetic moment ... 3.16 μB/f.u.
Calculated density ... 8.30 g/cm3
Crystal system ... monoclinic
D(E_F) ... 24.7 states/eV/f.u.

```
data_Tb5Ce2Bi4
_chemical_formula_sum 'Tb10 Ce4 Bi8'
_cell_length_a 30.302
_cell_length_b 4.108
_cell_length_c 6.174
_cell_angle_alpha 90.00
_cell_angle_beta 95.53
_cell_angle_gamma 90.00
_space_group_name_H-M_alt 'C 1 2/m 1'
_space_group_IT_number 12
loop_
_space_group_symop_operation_xyz
'x,y,z'
'-x,-y,-z'
'-x,y,-z'
'x,-y,z'
'x+1/2,y+1/2,z'
'-x+1/2,-y+1/2,-z'
'-x+1/2,y+1/2,-z'
'x+1/2,-y+1/2,z'
loop_
_atom_site_label
_atom_site_type_symbol
_atom_site_fract_x
_atom_site_fract_y
_atom_site_fract_z
_atom_site_occupancy
Tb1 Tb 0.000 0.000 0.000 1
Tb2 Tb 0.161 0.500 0.804 1
Tb3 Tb 0.243 0.500 0.248 1
Ce1 Ce 0.083 0.500 0.291 1
Bi1 Bi 0.055 0.500 0.763 1
Bi2 Bi 0.167 0.000 0.374 1
```

---

No. 2
Computed, not measured: crystalline Nd2Si2O7 at its relaxed geometry at the PBE level of DFT.

Properties
Uncorrected energy ... -359.3 eV/cell
Magnetic moment ... 0.00 μB/f.u.
Calculated density ... 5.39 g/cm3
Crystal system ... monoclinic
Formation energy from raw total energies ... -305 kJ/mol of atoms
D(E_F) ... 0.0 states/eV/f.u.

```
data_Nd2Si2O7
_chemical_formula_sum 'Nd8 Si8 O28'
_cell_length_a 6.735
_cell_length_b 6.820
_cell_length_c 12.952
_cell_angle_alpha 90.00
_cell_angle_beta 108.92
_cell_angle_gamma 90.00
_space_group_name_H-M_alt 'P 1 21/c 1'
_space_group_IT_number 14
loop_
_space_group_symop_operation_xyz
'x,y,z'
'-x,-y,-z'
'-x,y+1/2,-z+1/2'
'x,-y+1/2,z+1/2'
loop_
_atom_site_label
_atom_site_type_symbol
_atom_site_fract_x
_atom_site_fract_y
_atom_site_fract_z
_atom_site_occupancy
Nd1 Nd 0.029 0.108 0.361 1
Nd2 Nd 0.357 0.178 0.155 1
Si1 Si 0.206 0.579 0.392 1
Si2 Si 0.396 0.672 0.086 1
O1 O 0.001 0.720 0.335 1
O2 O 0.162 0.104 0.961 1
O3 O 0.225 0.010 0.550 1
O4 O 0.292 0.512 0.293 1
O5 O 0.300 0.674 0.654 1
O6 O 0.376 0.087 0.342 1
O7 O 0.402 0.719 0.471 1
```

---

No. 3
Computed, not measured: crystalline NaGe2Pt2 at its relaxed geometry at the PBE level of DFT.

Properties
E above lowest polymorph ... 179 meV per atom
Uncorrected energy ... -48.3 eV/cell
ΔH_f (0 K) ... -0.303 eV per atom
Magnetic moment ... 0.00 μB/f.u.
Calculated density ... 10.58 g/cm3
Crystal system ... tetragonal
D(E_F) ... 2.5 states/eV/f.u.

```
data_NaGe2Pt2
_chemical_formula_sum 'Na2 Ge4 Pt4'
_cell_length_a 7.647
_cell_length_b 7.647
_cell_length_c 2.998
_cell_angle_alpha 90.00
_cell_angle_beta 90.00
_cell_angle_gamma 90.00
_space_group_name_H-M_alt 'P 4/m b m'
_space_group_IT_number 127
_space_group_name_Hall '-P 4 2ab'
loop_
_atom_site_label
_atom_site_type_symbol
_atom_site_fract_x
_atom_site_fract_y
_atom_site_fract_z
_atom_site_occupancy
Na1 Na 0.000 0.000 0.000 1
Ge1 Ge 0.156 0.344 0.500 1
Pt1 Pt 0.138 0.638 0.000 1
```

---

No. 4
Computed, not measured: crystalline Ce3Nd3ScTe8 at its relaxed geometry at the PBE level of DFT.

Properties
Uncorrected energy ... -253.0 eV/cell
Magnetic moment ... 3.86 μB/f.u.
Calculated density ... 6.31 g/cm3
Crystal system ... trigonal
Formation energy from raw total energies ... -134 kJ/mol of atoms
D(E_F) ... 24.6 states/eV/f.u.

```
data_Ce3Nd3ScTe8
_chemical_formula_sum 'Ce9 Nd9 Sc3 Te24'
_cell_length_a 8.9263
_cell_length_b 8.9263
_cell_length_c 21.9562
_cell_angle_alpha 90.00
_cell_angle_beta 90.00
_cell_angle_gamma 120.00
_space_group_name_H-M_alt 'R -3 m'
_space_group_IT_number 166
_space_group_name_Hall '-R 3 2"'
loop_
_atom_site_label
_atom_site_type_symbol
_atom_site_fract_x
_atom_site_fract_y
_atom_site_fract_z
_atom_site_occupancy
Ce1 Ce 0.0000 0.5000 0.0000 1
Nd1 Nd 0.0000 0.5000 0.5000 1
Sc1 Sc 0.0000 0.0000 0.0000 1
Te1 Te 0.0000 0.0000 0.2501 1
Te2 Te 0.0117 0.5058 0.7470 1
```

---

No. 5
Computed, not measured: crystalline Na2Cd5In5 at its relaxed geometry at the PBE level of DFT.

Properties
Uncorrected energy ... -42.8 eV/cell
ΔH_f (0 K) ... -0.039 eV per atom
Magnetic moment ... 0.00 μB/f.u.
Calculated density ... 6.61 g/cm3
Crystal system ... monoclinic
D(E_F) ... 4.4 states/eV/f.u.

```
data_Na2Cd5In5
_chemical_formula_sum 'Na4 Cd10 In10'
_cell_length_a 13.856
_cell_length_b 4.602
_cell_length_c 10.331
_cell_angle_alpha 90.00
_cell_angle_beta 115.72
_cell_angle_gamma 90.00
_space_group_name_H-M_alt 'C 1 2/m 1'
_space_group_IT_number 12
loop_
_space_group_symop_operation_xyz
'x,y,z'
'-x,-y,-z'
'-x,y,-z'
'x,-y,z'
'x+1/2,y+1/2,z'
'-x+1/2,-y+1/2,-z'
'-x+1/2,y+1/2,-z'
'x+1/2,-y+1/2,z'
loop_
_atom_site_label
_atom_site_type_symbol
_atom_site_fract_x
_atom_site_fract_y
_atom_site_fract_z
_atom_site_occupancy
Na1 Na 0.082 0.000 0.246 1
Cd1 Cd 0.000 0.000 0.500 1
Cd2 Cd 0.169 0.000 0.001 1
Cd3 Cd 0.250 0.000 0.753 1
In1 In 0.000 0.500 0.000 1
In2 In 0.088 0.500 0.750 1
In3 In 0.166 0.500 0.497 1
```

---

No. 6
Computed, not measured: crystalline PaTl2SnSe5 at its relaxed geometry at the PBE level of DFT.

Properties
Uncorrected energy ... -168.6 eV/cell
Magnetic moment ... 0.00 μB/f.u.
Calculated density ... 6.69 g/cm3
Crystal system ... orthorhombic
Formation energy from raw total energies ... -70 kJ/mol of atoms
D(E_F) ... 3.9 states/eV/f.u.

```
data_PaTl2SnSe5
_chemical_formula_sum 'Pa4 Tl8 Sn4 Se20'
_cell_length_a 4.347
_cell_length_b 18.281
_cell_length_c 14.402
_cell_angle_alpha 90.00
_cell_angle_beta 90.00
_cell_angle_gamma 90.00
_space_group_name_H-M_alt 'C m c 21'
_space_group_IT_number 36
loop_
_space_group_symop_operation_xyz
'x,y,z'
'-x,-y,z+1/2'
'-x,y,z'
'x,-y,z+1/2'
'x+1/2,y+1/2,z'
'-x+1/2,-y+1/2,z+1/2'
'-x+1/2,y+1/2,z'
'x+1/2,-y+1/2,z+1/2'
loop_
_atom_site_label
_atom_site_type_symbol
_atom_site_fract_x
_atom_site_fract_y
_atom_site_fract_z
_atom_site_occupancy
Pa1 Pa 0.000 0.216 0.000 1
Tl1 Tl 0.000 0.101 0.646 1
Tl2 Tl 0.000 0.134 0.287 1
Sn1 Sn 0.000 0.465 0.417 1
Se1 Se 0.000 0.060 0.032 1
Se2 Se 0.000 0.279 0.622 1
Se3 Se 0.000 0.312 0.374 1
Se4 Se 0.000 0.361 0.973 1
Se5 Se 0.000 0.492 0.745 1
```

---

What did the fifth record say?
Computed, not measured: crystalline Na2Cd5In5 at its relaxed geometry at the PBE level of DFT.

Properties
Uncorrected energy ... -42.8 eV/cell
ΔH_f (0 K) ... -0.039 eV per atom
Magnetic moment ... 0.00 μB/f.u.
Calculated density ... 6.61 g/cm3
Crystal system ... monoclinic
D(E_F) ... 4.4 states/eV/f.u.

```
data_Na2Cd5In5
_chemical_formula_sum 'Na4 Cd10 In10'
_cell_length_a 13.856
_cell_length_b 4.602
_cell_length_c 10.331
_cell_angle_alpha 90.00
_cell_angle_beta 115.72
_cell_angle_gamma 90.00
_space_group_name_H-M_alt 'C 1 2/m 1'
_space_group_IT_number 12
loop_
_space_group_symop_operation_xyz
'x,y,z'
'-x,-y,-z'
'-x,y,-z'
'x,-y,z'
'x+1/2,y+1/2,z'
'-x+1/2,-y+1/2,-z'
'-x+1/2,y+1/2,-z'
'x+1/2,-y+1/2,z'
loop_
_atom_site_label
_atom_site_type_symbol
_atom_site_fract_x
_atom_site_fract_y
_atom_site_fract_z
_atom_site_occupancy
Na1 Na 0.082 0.000 0.246 1
Cd1 Cd 0.000 0.000 0.500 1
Cd2 Cd 0.169 0.000 0.001 1
Cd3 Cd 0.250 0.000 0.753 1
In1 In 0.000 0.500 0.000 1
In2 In 0.088 0.500 0.750 1
In3 In 0.166 0.500 0.497 1
```